Entry 1:
The following is a GGA-PBE calculation of a relaxed Li2ZrSiBi crystal, from Alexandria.

Volume   122 Å³ per cell
Fermi-level density of states   0.3971 states/eV per atom
ΔE_f (raw)   691 meV per atom
Crystal system   tetragonal

CIF file:
```
data_Li2ZrSiBi
_chemical_formula_sum 'Li2 Zr1 Si1 Bi1'
_cell_length_a 4.612
_cell_length_b 4.612
_cell_length_c 5.715
_cell_angle_alpha 90.00
_cell_angle_beta 90.00
_cell_angle_gamma 90.00
_space_group_name_H-M_alt 'P 4/m m m'
_space_group_IT_number 123
_space_group_name_Hall '-P 4 2'
loop_
_atom_site_label
_atom_site_fract_x
_atom_site_fract_y
_atom_site_fract_z
Li1 0.000 0.500 0.000
Zr1 0.000 0.000 0.500
Si1 0.500 0.500 0.500
Bi1 0.500 0.500 0.000
```



Entry 2:
The following is a GGA-PBE calculation of a relaxed LiSm4Bi2 crystal, from Alexandria.

Volume   420 Å³ per cell
Fermi-level density of states   1.0175 states/eV per atom
ΔE_f   -0.385 eV/atom
Crystal system   monoclinic

CIF file:
```
data_LiSm4Bi2
_chemical_formula_sum 'Li2 Sm8 Bi4'
_cell_length_a 7.220
_cell_length_b 6.432
_cell_length_c 9.366
_cell_angle_alpha 90.00
_cell_angle_beta 104.85
_cell_angle_gamma 90.00
_space_group_name_H-M_alt 'P 1 21/m 1'
_space_group_IT_number 11
loop_
_space_group_symop_operation_xyz
'x,y,z'
'-x,-y,-z'
'-x,y+1/2,-z'
'x,-y+1/2,z'
loop_
_atom_site_label
_atom_site_fract_x
_atom_site_fract_y
_atom_site_fract_z
Li1 0.170 0.250 0.133
Sm1 0.045 0.250 0.817
Sm2 0.123 0.250 0.445
Sm3 0.483 0.002 0.775
Bi1 0.206 0.750 0.936
Bi2 0.300 0.750 0.464
```



Entry 3:
The following is a GGA-PBE calculation of a relaxed Li6SmBi4 crystal, from Alexandria.

Volume   258 Å³ per cell
Fermi-level density of states   0.5635 states/eV per atom
ΔE_f   -0.456 eV/atom
Crystal system   hexagonal

CIF file:
```
data_Li6SmBi4
_chemical_formula_sum 'Li6 Sm1 Bi4'
_cell_length_a 8.1663
_cell_length_b 8.1663
_cell_length_c 4.4737
_cell_angle_alpha 90.00
_cell_angle_beta 90.00
_cell_angle_gamma 120.00
_space_group_name_H-M_alt 'P -6 m 2'
_space_group_IT_number 187
_space_group_name_Hall 'P -6 2'
loop_
_atom_site_label
_atom_site_fract_x
_atom_site_fract_y
_atom_site_fract_z
Li1 0.1991 0.3982 0.0000
Li2 0.2400 0.1200 0.5000
Sm1 0.6667 0.3333 0.0000
Bi1 0.0000 0.0000 0.0000
Bi2 0.0236 0.5118 0.5000
```



Entry 4:
The following is a GGA-PBE calculation of a relaxed Li7SmBi4 crystal, from Alexandria.

Volume   562 Å³ per cell
Fermi-level density of states   0.3062 states/eV per atom
ΔE_f   -0.300 eV/atom
Crystal system   monoclinic

CIF file:
```
data_Li7SmBi4
_chemical_formula_sum 'Li14 Sm2 Bi8'
_cell_length_a 12.689
_cell_length_b 5.198
_cell_length_c 10.421
_cell_angle_alpha 90.00
_cell_angle_beta 125.19
_cell_angle_gamma 90.00
_space_group_name_H-M_alt 'C 1 2/m 1'
_space_group_IT_number 12
loop_
_space_group_symop_operation_xyz
'x,y,z'
'-x,-y,-z'
'-x,y,-z'
'x,-y,z'
'x+1/2,y+1/2,z'
'-x+1/2,-y+1/2,-z'
'-x+1/2,y+1/2,-z'
'x+1/2,-y+1/2,z'
loop_
_atom_site_label
_atom_site_fract_x
_atom_site_fract_y
_atom_site_fract_z
Li1 0.000 0.000 0.000
Li2 0.092 0.500 0.439
Li3 0.183 0.000 0.902
Li4 0.203 0.000 0.634
Sm1 0.000 0.500 0.000
Bi1 0.088 0.000 0.299
Bi2 0.200 0.500 0.781
```



Entry 5:
The following is a GGA-PBE calculation of a relaxed Li2SmBi2 crystal, from Alexandria.

Volume   141 Å³ per cell
Fermi-level density of states   0.4833 states/eV per atom
Excess energy over the best structure of this formula in the dataset   6 meV/atom
ΔE_f   -0.567 eV/atom
Crystal system   trigonal

CIF file:
```
data_Li2SmBi2
_chemical_formula_sum 'Li2 Sm1 Bi2'
_cell_length_a 4.6536
_cell_length_b 4.6536
_cell_length_c 7.5216
_cell_angle_alpha 90.00
_cell_angle_beta 90.00
_cell_angle_gamma 120.00
_space_group_name_H-M_alt 'P -3 m 1'
_space_group_IT_number 164
_space_group_name_Hall '-P 3 2"'
loop_
_atom_site_label
_atom_site_fract_x
_atom_site_fract_y
_atom_site_fract_z
Li1 0.3333 0.6667 0.3694
Sm1 0.0000 0.0000 0.0000
Bi1 0.3333 0.6667 0.7600
```



Entry 6:
The following is a GGA-PBE calculation of a relaxed Li2Sm5Bi5 crystal, from Alexandria.

Volume   761 Å³ per cell
Fermi-level density of states   0.4653 states/eV per atom
ΔE_f   -0.660 eV/atom
Crystal system   monoclinic

CIF file:
```
data_Li2Sm5Bi5
_chemical_formula_sum 'Li4 Sm10 Bi10'
_cell_length_a 14.989
_cell_length_b 4.487
_cell_length_c 12.488
_cell_angle_alpha 90.00
_cell_angle_beta 115.09
_cell_angle_gamma 90.00
_space_group_name_H-M_alt 'C 1 2/m 1'
_space_group_IT_number 12
loop_
_space_group_symop_operation_xyz
'x,y,z'
'-x,-y,-z'
'-x,y,-z'
'x,-y,z'
'x+1/2,y+1/2,z'
'-x+1/2,-y+1/2,-z'
'-x+1/2,y+1/2,-z'
'x+1/2,-y+1/2,z'
loop_
_atom_site_label
_atom_site_fract_x
_atom_site_fract_y
_atom_site_fract_z
Li1 0.071 0.000 0.288
Sm1 0.000 0.500 0.000
Sm2 0.156 0.500 0.523
Sm3 0.216 0.500 0.839
Bi1 0.000 0.000 0.500
Bi2 0.105 0.000 0.914
Bi3 0.193 0.500 0.283
```



Entry 7:
The following is a GGA-PBE calculation of a relaxed Li2SmBi2 crystal, from Alexandria.

Volume   251 Å³ per cell
Fermi-level density of states   0.5131 states/eV per atom
Excess energy over the best structure of this formula in the dataset   0 meV/atom
ΔE_f   -0.573 eV/atom
Crystal system   monoclinic

CIF file:
```
data_Li2SmBi2
_chemical_formula_sum 'Li4 Sm2 Bi4'
_cell_length_a 17.190
_cell_length_b 4.274
_cell_length_c 3.488
_cell_angle_alpha 90.00
_cell_angle_beta 101.11
_cell_angle_gamma 90.00
_space_group_name_H-M_alt 'C 1 2/m 1'
_space_group_IT_number 12
loop_
_space_group_symop_operation_xyz
'x,y,z'
'-x,-y,-z'
'-x,y,-z'
'x,-y,z'
'x+1/2,y+1/2,z'
'-x+1/2,-y+1/2,-z'
'-x+1/2,y+1/2,-z'
'x+1/2,-y+1/2,z'
loop_
_atom_site_label
_atom_site_fract_x
_atom_site_fract_y
_atom_site_fract_z
Li1 0.203 0.000 0.208
Sm1 0.000 0.000 0.000
Bi1 0.122 0.500 0.625
```



Entry 8:
The following is a GGA-PBE calculation of a relaxed LiSmBi2 crystal, from Alexandria.

Volume   111 Å³ per cell
Fermi-level density of states   0.5565 states/eV per atom
Excess energy over the best structure of this formula in the dataset   156 meV/atom
ΔE_f   -0.504 eV/atom
Crystal system   tetragonal

CIF file:
```
data_LiSmBi2
_chemical_formula_sum 'Li1 Sm1 Bi2'
_cell_length_a 3.571
_cell_length_b 3.571
_cell_length_c 8.704
_cell_angle_alpha 90.00
_cell_angle_beta 90.00
_cell_angle_gamma 90.00
_space_group_name_H-M_alt 'P 4/m m m'
_space_group_IT_number 123
_space_group_name_Hall '-P 4 2'
loop_
_atom_site_label
_atom_site_fract_x
_atom_site_fract_y
_atom_site_fract_z
Li1 0.000 0.000 0.000
Sm1 0.000 0.000 0.500
Bi1 0.500 0.500 0.233
```



Entry 9:
The following is a GGA-PBE calculation of a relaxed LiSmBi2 crystal, from Alexandria.

Volume   456 Å³ per cell
Fermi-level density of states   0.9431 states/eV per atom
Excess energy over the best structure of this formula in the dataset   194 meV/atom
ΔE_f   -0.466 eV/atom
Crystal system   cubic

CIF file:
```
data_LiSmBi2
_chemical_formula_sum 'Li4 Sm4 Bi8'
_cell_length_a 7.699
_cell_length_b 7.699
_cell_length_c 7.699
_cell_angle_alpha 90.00
_cell_angle_beta 90.00
_cell_angle_gamma 90.00
_space_group_name_H-M_alt 'F m -3 m'
_space_group_IT_number 225
_space_group_name_Hall '-F 4 2 3'
loop_
_atom_site_label
_atom_site_fract_x
_atom_site_fract_y
_atom_site_fract_z
Li1 0.000 0.000 0.000
Sm1 0.000 0.000 0.500
Bi1 0.250 0.250 0.250
```



Entry 10:
The following is a GGA-PBE calculation of a relaxed LiSm5Bi2 crystal, from Alexandria.

Volume   962 Å³ per cell
Fermi-level density of states   0.7855 states/eV per atom
ΔE_f   -0.340 eV/atom
Crystal system   orthorhombic

CIF file:
```
data_LiSm5Bi2
_chemical_formula_sum 'Li4 Sm20 Bi8'
_cell_length_a 4.201
_cell_length_b 11.947
_cell_length_c 19.172
_cell_angle_alpha 90.00
_cell_angle_beta 90.00
_cell_angle_gamma 90.00
_space_group_name_H-M_alt 'C m c m'
_space_group_IT_number 63
_space_group_name_Hall '-C 2c 2'
loop_
_atom_site_label
_atom_site_fract_x
_atom_site_fract_y
_atom_site_fract_z
Li1 0.000 0.172 0.250
Sm1 0.000 0.053 0.110
Sm2 0.000 0.356 0.029
Sm3 0.000 0.432 0.250
Bi1 0.000 0.238 0.650
```



Entry 11:
The following is a GGA-PBE calculation of a relaxed Li3SmBi2 crystal, from Alexandria.

Volume   141 Å³ per cell
Fermi-level density of states   0.1018 states/eV per atom
Excess energy over the best structure of this formula in the dataset   0 meV/atom
ΔE_f   -0.681 eV/atom
Crystal system   trigonal

CIF file:
```
data_Li3SmBi2
_chemical_formula_sum 'Li3 Sm1 Bi2'
_cell_length_a 4.6934
_cell_length_b 4.6934
_cell_length_c 7.4005
_cell_angle_alpha 90.00
_cell_angle_beta 90.00
_cell_angle_gamma 120.00
_space_group_name_H-M_alt 'P -3 m 1'
_space_group_IT_number 164
_space_group_name_Hall '-P 3 2"'
loop_
_atom_site_label
_atom_site_fract_x
_atom_site_fract_y
_atom_site_fract_z
Li1 0.0000 0.0000 0.0000
Li2 0.3333 0.6667 0.8495
Sm1 0.0000 0.0000 0.5000
Bi1 0.3333 0.6667 0.2490
```



Entry 12:
The following is a GGA-PBE calculation of a relaxed Li3SmBi3 crystal, from Alexandria.

Volume   1202 Å³ per cell
Fermi-level density of states   0.1501 states/eV per atom
ΔE_f   -0.391 eV/atom
Crystal system   trigonal

CIF file:
```
data_Li3SmBi3
_chemical_formula_sum 'Li18 Sm6 Bi18'
_cell_length_a 9.1445
_cell_length_b 9.1445
_cell_length_c 16.5944
_cell_angle_alpha 90.00
_cell_angle_beta 90.00
_cell_angle_gamma 120.00
_space_group_name_H-M_alt 'R -3'
_space_group_IT_number 148
_space_group_name_Hall '-R 3'
loop_
_atom_site_label
_atom_site_fract_x
_atom_site_fract_y
_atom_site_fract_z
Li1 0.0046 0.2570 0.4217
Sm1 0.0000 0.0000 0.2034
Bi1 0.0385 0.4161 0.5840
```



Entry 13:
The following is a GGA-PBE calculation of a relaxed LiSmBi3 crystal, from Alexandria.

Volume   574 Å³ per cell
Fermi-level density of states   0.2846 states/eV per atom
ΔE_f   -0.510 eV/atom
Crystal system   orthorhombic

CIF file:
```
data_LiSmBi3
_chemical_formula_sum 'Li4 Sm4 Bi12'
_cell_length_a 13.882
_cell_length_b 6.306
_cell_length_c 6.557
_cell_angle_alpha 90.00
_cell_angle_beta 90.00
_cell_angle_gamma 90.00
_space_group_name_H-M_alt 'P b c m'
_space_group_IT_number 57
loop_
_space_group_symop_operation_xyz
'x,y,z'
'-x,-y,-z'
'-x,-y,z+1/2'
'x,y,-z+1/2'
'x,-y+1/2,-z'
'-x,y+1/2,z'
'-x,y+1/2,-z+1/2'
'x,-y+1/2,z+1/2'
loop_
_atom_site_label
_atom_site_fract_x
_atom_site_fract_y
_atom_site_fract_z
Li1 0.112 0.250 0.000
Sm1 0.315 0.513 0.250
Bi1 0.076 0.703 0.250
Bi2 0.257 0.004 0.250
Bi3 0.495 0.250 0.000
```



Entry 14:
The following is a GGA-PBE calculation of a relaxed Li3SmBi2 crystal, from Alexandria.

Volume   862 Å³ per cell
Fermi-level density of states   0.1222 states/eV per atom
Excess energy over the best structure of this formula in the dataset   83 meV/atom
ΔE_f   -0.597 eV/atom
Crystal system   monoclinic

CIF file:
```
data_Li3SmBi2
_chemical_formula_sum 'Li18 Sm6 Bi12'
_cell_length_a 17.893
_cell_length_b 4.457
_cell_length_c 11.008
_cell_angle_alpha 90.00
_cell_angle_beta 101.02
_cell_angle_gamma 90.00
_space_group_name_H-M_alt 'C 1 2/m 1'
_space_group_IT_number 12
loop_
_space_group_symop_operation_xyz
'x,y,z'
'-x,-y,-z'
'-x,y,-z'
'x,-y,z'
'x+1/2,y+1/2,z'
'-x+1/2,-y+1/2,-z'
'-x+1/2,y+1/2,-z'
'x+1/2,-y+1/2,z'
loop_
_atom_site_label
_atom_site_fract_x
_atom_site_fract_y
_atom_site_fract_z
Li1 0.000 0.000 0.000
Li2 0.048 0.500 0.841
Li3 0.120 0.000 0.728
Li4 0.182 0.000 0.487
Li5 0.208 0.500 0.905
Sm1 0.000 0.500 0.500
Sm2 0.170 0.500 0.221
Bi1 0.046 0.000 0.305
Bi2 0.143 0.000 0.995
Bi3 0.192 0.500 0.645
```



Entry 15:
The following is a GGA-PBE calculation of a relaxed Li12Sm5Bi3 crystal, from Alexandria.

Volume   4648 Å³ per cell
Fermi-level density of states   0.6950 states/eV per atom
ΔE_f   0.403 eV/atom
Crystal system   cubic

CIF file:
```
data_Li12Sm5Bi3
_chemical_formula_sum 'Li96 Sm40 Bi24'
_cell_length_a 16.689
_cell_length_b 16.689
_cell_length_c 16.689
_cell_angle_alpha 90.00
_cell_angle_beta 90.00
_cell_angle_gamma 90.00
_space_group_name_H-M_alt 'I a -3 d'
_space_group_IT_number 230
_space_group_name_Hall '-I 4bd 2c 3'
loop_
_atom_site_label
_atom_site_fract_x
_atom_site_fract_y
_atom_site_fract_z
Li1 0.005 0.089 0.153
Sm1 0.000 0.000 0.000
Sm2 0.000 0.250 0.375
Bi1 0.000 0.250 0.125
```



Entry 16:
The following is a GGA-PBE calculation of a relaxed LiSmBi2 crystal, from Alexandria.

Volume   217 Å³ per cell
Fermi-level density of states   0.2780 states/eV per atom
Excess energy over the best structure of this formula in the dataset   0 meV/atom
ΔE_f   -0.660 eV/atom
Crystal system   tetragonal

CIF file:
```
data_LiSmBi2
_chemical_formula_sum 'Li2 Sm2 Bi4'
_cell_length_a 4.542
_cell_length_b 4.542
_cell_length_c 10.530
_cell_angle_alpha 90.00
_cell_angle_beta 90.00
_cell_angle_gamma 90.00
_space_group_name_H-M_alt 'P 4/n m m'
_space_group_IT_number 129
loop_
_space_group_symop_operation_xyz
'x,y,z'
'-x,-y,-z'
'-y+1/2,x,z'
'y+1/2,-x,-z'
'-x+1/2,-y+1/2,z'
'x+1/2,y+1/2,-z'
'y,-x+1/2,z'
'-y,x+1/2,-z'
'x+1/2,-y,-z'
'-x+1/2,y,z'
'-y,-x,-z'
'y,x,z'
'-x,y+1/2,-z'
'x,-y+1/2,z'
'y+1/2,x+1/2,-z'
'-y+1/2,-x+1/2,z'
loop_
_atom_site_label
_atom_site_fract_x
_atom_site_fract_y
_atom_site_fract_z
Li1 0.250 0.750 0.000
Sm1 0.250 0.250 0.258
Bi1 0.250 0.250 0.833
Bi2 0.250 0.750 0.500
```



Entry 17:
The following is a GGA-PBE calculation of a relaxed Li4SmBi2 crystal, from Alexandria.

Volume   317 Å³ per cell
Fermi-level density of states   0.6377 states/eV per atom
ΔE_f   -0.565 eV/atom
Crystal system   tetragonal

CIF file:
```
data_Li4SmBi2
_chemical_formula_sum 'Li8 Sm2 Bi4'
_cell_length_a 8.296
_cell_length_b 8.296
_cell_length_c 4.600
_cell_angle_alpha 90.00
_cell_angle_beta 90.00
_cell_angle_gamma 90.00
_space_group_name_H-M_alt 'P 42/m n m'
_space_group_IT_number 136
_space_group_name_Hall '-P 4n 2n'
loop_
_atom_site_label
_atom_site_fract_x
_atom_site_fract_y
_atom_site_fract_z
Li1 0.101 0.344 0.000
Sm1 0.000 0.000 0.500
Bi1 0.210 0.790 0.000
```



Entry 18:
The following is a GGA-PBE calculation of a relaxed LiSm5Bi4 crystal, from Alexandria.

Volume   653 Å³ per cell
Fermi-level density of states   0.6196 states/eV per atom
ΔE_f   -0.645 eV/atom
Crystal system   tetragonal

CIF file:
```
data_LiSm5Bi4
_chemical_formula_sum 'Li2 Sm10 Bi8'
_cell_length_a 10.052
_cell_length_b 10.052
_cell_length_c 6.458
_cell_angle_alpha 90.00
_cell_angle_beta 90.00
_cell_angle_gamma 90.00
_space_group_name_H-M_alt 'I 4'
_space_group_IT_number 79
loop_
_space_group_symop_operation_xyz
'x,y,z'
'-y,x,z'
'-x,-y,z'
'y,-x,z'
'x+1/2,y+1/2,z+1/2'
'-y+1/2,x+1/2,z+1/2'
'-x+1/2,-y+1/2,z+1/2'
'y+1/2,-x+1/2,z+1/2'
loop_
_atom_site_label
_atom_site_fract_x
_atom_site_fract_y
_atom_site_fract_z
Li1 0.000 0.000 0.000
Sm1 0.000 0.000 0.480
Sm2 0.101 0.691 0.816
Bi1 0.100 0.711 0.317
```



Entry 19:
The following is a GGA-PBE calculation of a relaxed LiSmBi2 crystal, from Alexandria.

Volume   111 Å³ per cell
Fermi-level density of states   0.4982 states/eV per atom
Excess energy over the best structure of this formula in the dataset   97 meV/atom
ΔE_f   -0.563 eV/atom
Crystal system   tetragonal

CIF file:
```
data_LiSmBi2
_chemical_formula_sum 'Li1 Sm1 Bi2'
_cell_length_a 5.062
_cell_length_b 5.062
_cell_length_c 4.336
_cell_angle_alpha 90.00
_cell_angle_beta 90.00
_cell_angle_gamma 90.00
_space_group_name_H-M_alt 'P 4/m m m'
_space_group_IT_number 123
_space_group_name_Hall '-P 4 2'
loop_
_atom_site_label
_atom_site_fract_x
_atom_site_fract_y
_atom_site_fract_z
Li1 0.000 0.000 0.000
Sm1 0.500 0.500 0.000
Bi1 0.000 0.500 0.500
```